A plane-wave DFT calculation with PBE was carried out for an optimized crystal structure of Pm2AgH6Ru.

## Properties
Total DFT energy (no corrections) = -45.34 eV per cell

a = 5.3668 Å, b = 5.3668 Å, c = 5.3672 Å
α = 119.79°, β = 119.79°, γ = 90.49°
Fractional coordinates of all 10 atoms:
Pm1 0.7500 0.2503 0.4999
Pm2 0.2499 0.7505 0.4999
Ag1 0.4999 0.5004 0.9998
H1 0.7705 0.7710 0.0017
H2 0.7715 0.7720 0.5412
H3 0.2294 0.2298 0.9980
H4 0.7706 0.2296 0.9996
H5 0.2283 0.2288 0.4584
H6 0.2291 0.7711 0.9997
Ru1 0.9999 0.0004 0.9998